Entry from the Alexandria database: AlIr2RuW after structural relaxation (GGA-PBE).

## Properties
As for the crystal system: tetragonal. As for the space group: P4/mmm. The formation energy is 1.699 eV per atom.

Lattice parameters (Å, degrees): 4.6959 4.6959 4.7336 90.00 90.00 90.00
Closest atoms and distances in Å follow each position.
Element x y z (fractional)
Al  0.0000  0.0000  0.0000  2 W 2.37
Ir  0.0000  0.5000  0.5000  2 W 2.35
Ir  0.5000  0.0000  0.5000  2 W 2.35
Ru  0.5000  0.5000  0.0000  4 Al 3.32, 8 Ir 3.33
W  0.0000  0.0000  0.5000  4 Ir 2.35, 2 Al 2.37

Entry from the Alexandria database: CuAg2Te2 after structural relaxation (GGA-PBE).

## Properties
As for the crystal system: monoclinic. As for the space group: C2/m. The energy above the most stable polymorph in this dataset comes out at 0.102 eV per formula unit. The formation energy without anion corrections comes out at 0.0 eV/f.u.

Lattice parameters (Å, degrees): 4.8815 4.8815 13.6814 97.47 97.47 52.60
Closest atoms and distances in Å follow each position.
Element x y z (fractional)
Cu  0.1576  0.1576  0.2866  5 Ag 2.69-2.78, 3 Te 2.71-2.73
Cu  0.8424  0.8424  0.7134  5 Ag 2.69-2.78, 3 Te 2.71-2.73
Ag  0.3245  0.3245  0.8388  2 Cu 2.78, 4 Te 2.81-3.06, 1 Ag 2.95
Ag  0.4677  0.4677  0.3129  3 Cu 2.69-2.78, 3 Te 2.87-2.89, 1 Ag 2.95
Ag  0.5323  0.5323  0.6871  3 Cu 2.69-2.78, 3 Te 2.87-2.89, 1 Ag 2.95
Ag  0.6755  0.6755  0.1612  2 Cu 2.78, 4 Te 2.81-3.06, 1 Ag 2.95
Te  0.0261  0.0261  0.8925  1 Cu 2.73, 3 Ag 2.81-2.82, 1 Te 3.04
Te  0.2073  0.2073  0.6172  2 Cu 2.71, 3 Ag 2.87-2.89
Te  0.7927  0.7927  0.3828  2 Cu 2.71, 3 Ag 2.87-2.89
Te  0.9739  0.9739  0.1075  1 Cu 2.73, 3 Ag 2.81-2.82, 1 Te 3.04

Number 1: total DFT energy (no corrections) -35.20 eV per cell. Number 2: total DFT energy (no corrections) -32.12 eV per cell.